# Fe2Te4H3ClO12 PBE with a Hubbard U optimized geometry
# * M_tot: 10.0 Bohr magnetons per cell
# * Fermi-level density of states: 0.0 states/eV/f.u.
# * energy: -120.112 eV for the cell shown
# * crystal system: triclinic
data_Fe2Te4H3ClO12
_chemical_formula_sum 'Fe2 Te4 H3 Cl1 O12'
_space_group_name_H-M_alt 'P -1'
_space_group_IT_number 2
_cell_length_a 5.227
_cell_length_b 6.728
_cell_length_c 9.043
_cell_angle_alpha 73.21
_cell_angle_beta 79.45
_cell_angle_gamma 76.94
loop_
_space_group_symop_operation_xyz
'x,y,z'
'-x,-y,-z'
loop_
_atom_site_label
_atom_site_fract_x
_atom_site_fract_y
_atom_site_fract_z
_atom_site_occupancy
Fe1 0.223 0.142 0.445 1
Te1 0.174 0.831 0.831 1
Te2 0.372 0.661 0.312 1
H1 0.051 0.533 0.211 1
H2 0.500 0.500 0.000 1
Cl1 0.500 0.000 0.000 1
O1 0.034 0.290 0.262 1
O2 0.089 0.682 0.190 1
O3 0.131 0.867 0.413 1
O4 0.305 0.406 0.463 1
O5 0.393 0.959 0.645 1
O6 0.413 0.569 0.876 1